(1)
The following is a DFT calculation (GGA-PBE) of a geometry-optimized EuZnPd structure.

It has space group Pnma (No. 62), with a = 7.2998 Å, b = 4.4729 Å, c = 7.8985 Å, α = 90.00°, β = 90.00° and γ = 90.00°. Symmetry generates all atoms from Eu at (0.0124, 0.2500, 0.1946), Zn at (0.1681, 0.2500, 0.5781) and Pd at (0.2076, 0.7500, 0.3989).

The calculation puts the volume at 258 Å³ per cell. As for the total energy: -6.21 eV/atom. The energy of formation comes out at -0.633 eV/atom. Its density of states at the Fermi level is 31.70 states/eV/cell. The size of the total moment comes out at 7.121 μB/f.u.

---

(2)
The following is a DFT calculation (GGA-PBE) of a geometry-optimized EuZn2Pd structure.

It has space group P4/mmm (No. 123), with a = 3.3873 Å, b = 3.3873 Å, c = 6.8056 Å, α = 90.00°, β = 90.00° and γ = 90.00°. Symmetry generates all atoms from Eu at (0.0000, 0.0000, 0.0000), Zn at (0.5000, 0.5000, 0.3108) and Pd at (0.0000, 0.0000, 0.5000).

The calculation puts the volume at 78 Å³ per cell. As for the total energy: -4.88 eV/atom. The energy of formation comes out at -0.372 eV/atom. Its density of states at the Fermi level is 4.58 states/eV/cell. The size of the total moment comes out at 7.082 μB/f.u.

---

(3)
The following is a DFT calculation (GGA-PBE) of a geometry-optimized EuZn4Pd structure.

It has space group F-43m (No. 216), with a = 7.4601 Å, b = 7.4601 Å, c = 7.4601 Å, α = 90.00°, β = 90.00° and γ = 90.00°. Symmetry generates all atoms from Eu at (0.0000, 0.0000, 0.0000), Zn at (0.1233, 0.1233, 0.6233) and Pd at (0.2500, 0.2500, 0.2500).

The calculation puts the volume at 415 Å³ per cell. As for the total energy: -3.77 eV/atom. The energy of formation comes out at -0.346 eV/atom. Its density of states at the Fermi level is 22.93 states/eV/cell. The size of the total moment comes out at 6.940 μB/f.u.

---

(4)
The following is a DFT calculation (GGA-PBE) of a geometry-optimized EuZn2Pd structure.

It has space group R-3m (No. 166, hexagonal axes), with a = 4.3990 Å, b = 4.3990 Å, c = 15.4087 Å, α = 90.00°, β = 90.00° and γ = 120.00°. Symmetry generates all atoms from Eu at (0.0000, 0.0000, 0.0000), Zn at (0.0000, 0.0000, 0.2033) and Pd at (0.0000, 0.0000, 0.5000).

The calculation puts the volume at 258 Å³ per cell. As for the total energy: -4.96 eV/atom. The energy of formation comes out at -0.457 eV/atom. Its density of states at the Fermi level is 28.35 states/eV/cell. The size of the total moment comes out at 7.321 μB/f.u.

---

(5)
The following is a DFT calculation (GGA-PBE) of a geometry-optimized EuZnPd2 structure.

It has space group P4/mmm (No. 123), with a = 4.3840 Å, b = 4.3840 Å, c = 3.9304 Å, α = 90.00°, β = 90.00° and γ = 90.00°. Symmetry generates all atoms from Eu at (0.0000, 0.0000, 0.0000), Zn at (0.5000, 0.5000, 0.0000) and Pd at (0.0000, 0.5000, 0.5000).

The calculation puts the volume at 76 Å³ per cell. As for the total energy: -5.94 eV/atom. The energy of formation comes out at -0.456 eV/atom. Its density of states at the Fermi level is 11.64 states/eV/cell. The size of the total moment comes out at 6.939 μB/f.u.

---

(6)
The following is a DFT calculation (GGA-PBE) of a geometry-optimized EuZn3Pd structure.

It has space group Pm-3m (No. 221), with a = 4.8439 Å, b = 4.8439 Å, c = 4.8439 Å, α = 90.00°, β = 90.00° and γ = 90.00°. Symmetry generates all atoms from Eu at (0.0000, 0.0000, 0.0000), Zn at (0.0000, 0.5000, 0.5000) and Pd at (0.5000, 0.5000, 0.5000).

The calculation puts the volume at 114 Å³ per cell. As for the total energy: -4.13 eV/atom. The energy of formation comes out at -0.269 eV/atom. Its density of states at the Fermi level is 10.09 states/eV/cell. The size of the total moment comes out at 7.435 μB/f.u.